# 1
GaPI2O: relaxed, PBE.

## Properties
Formation energy (no corrections), eV/atom: 0.1148
E, eV per atom: -3.18
Offset from the most stable computed form, meV/atom: 370
V, Å³ per atom: 23.36

a b c (Å): 5.6923 5.6923 3.6045
angles (deg): 90.00 90.00 90.00
With the nearest neighbours (Å) after each atom.
Sites, in units of the cell vectors:
1 Ga 0.0000 0.0000 0.0000  2 O 1.80
2 P 0.5000 0.5000 0.5000  8 I 3.37, 2 P 3.60
3 I 0.0000 0.5000 0.0000  2 Ga 2.85
4 I 0.5000 0.0000 0.0000  2 Ga 2.85
5 O 0.0000 0.0000 0.5000  2 Ga 1.80

# 2
Pr8Tm2Tl: relaxed, PBE.

## Properties
E, eV per atom: -4.55
Offset from the most stable computed form, meV/atom: 0
V, Å³ per atom: 33.67

a b c (Å): 9.5906 9.5906 8.1791
angles (deg): 105.26 105.26 30.78
With the nearest neighbours (Å) after each atom.
Sites, in units of the cell vectors:
1 Pr 0.0456 0.0456 0.2274  9 Pr 3.58-3.69, 1 Tm 3.61, 2 Tl 3.63
2 Pr 0.1374 0.1374 0.6814  7 Pr 3.58-3.66, 3 Tm 3.60-3.62, 2 Tl 3.62
3 Pr 0.3208 0.3208 0.5912  8 Pr 3.58-3.70, 1 Tl 3.59, 3 Tm 3.66-3.69
4 Pr 0.4083 0.4083 0.0555  1 Tl 3.57, 8 Pr 3.58-3.74, 3 Tm 3.59-3.61
5 Pr 0.5917 0.5917 0.9445  1 Tl 3.57, 8 Pr 3.58-3.74, 3 Tm 3.59-3.61
6 Pr 0.6792 0.6792 0.4088  8 Pr 3.58-3.70, 1 Tl 3.59, 3 Tm 3.66-3.69
7 Pr 0.8626 0.8626 0.3186  7 Pr 3.58-3.66, 3 Tm 3.60-3.62, 2 Tl 3.62
8 Pr 0.9544 0.9544 0.7726  9 Pr 3.58-3.69, 1 Tm 3.61, 2 Tl 3.63
9 Tm 0.2252 0.2252 0.1322  10 Pr 3.59-3.69, 2 Tm 3.62
10 Tm 0.7748 0.7748 0.8678  10 Pr 3.59-3.69, 2 Tm 3.62
11 Tl 0.5000 0.5000 0.5000  12 Pr 3.57-3.63

# 3
CdAs3Os: relaxed, PBE.

## Properties
E, eV per atom: -4.60
Offset from the most stable computed form, meV/atom: 0
V, Å³ per atom: 23.02

a b c (Å): 4.8641 4.8641 4.8641
angles (deg): 90.00 90.00 90.00
With the nearest neighbours (Å) after each atom.
Sites, in units of the cell vectors:
1 Cd 0.0000 0.0000 0.0000  12 As 3.44
2 As 0.0000 0.5000 0.5000  2 Os 2.43
3 As 0.5000 0.0000 0.5000  2 Os 2.43
4 As 0.5000 0.5000 0.0000  2 Os 2.43
5 Os 0.5000 0.5000 0.5000  6 As 2.43

# 4
PmCd3Hg: relaxed, PBE.

## Properties
E, eV per atom: -1.73
Offset from the most stable computed form, meV/atom: 55
V, Å³ per atom: 25.72

a b c (Å): 14.1654 14.1654 3.7828
angles (deg): 90.00 90.00 160.19
With the nearest neighbours (Å) after each atom.
Sites, in units of the cell vectors:
1 Pm 0.1681 0.8319 0.0000  4 Hg 3.29, 8 Cd 3.48-3.67
2 Pm 0.8319 0.1681 0.0000  4 Hg 3.29, 8 Cd 3.48-3.67
3 Cd 0.0556 0.9444 0.5000  5 Cd 3.09-3.10, 2 Hg 3.15
4 Cd 0.2726 0.7274 0.5000  2 Cd 2.74, 1 Hg 2.81
5 Cd 0.4510 0.5490 0.0000  1 Cd 2.73, 2 Hg 2.88
6 Cd 0.5490 0.4510 0.0000  1 Cd 2.73, 2 Hg 2.88
7 Cd 0.7274 0.2726 0.5000  2 Cd 2.74, 1 Hg 2.81
8 Cd 0.9444 0.0556 0.5000  5 Cd 3.09-3.10, 2 Hg 3.15
9 Hg 0.3731 0.6269 0.5000  3 Cd 2.81-2.88
10 Hg 0.6269 0.3731 0.5000  3 Cd 2.81-2.88

# 5
KLa2Sc: relaxed, PBE.

## Properties
E, eV per atom: -3.95
Offset from the most stable computed form, meV/atom: 178
V, Å³ per atom: 37.66

a b c (Å): 6.1292 6.1292 7.3721
angles (deg): 94.40 94.40 33.07
With the nearest neighbours (Å) after each atom.
Sites, in units of the cell vectors:
1 K 0.0000 0.0000 0.0000  2 K 3.49, 2 La 3.75
2 La 0.2422 0.2422 0.6976  4 La 3.41-3.49, 3 Sc 3.47-3.55, 1 K 3.75
3 La 0.7578 0.7578 0.3024  4 La 3.41-3.49, 3 Sc 3.47-3.55, 1 K 3.75
4 Sc 0.5000 0.5000 0.5000  6 La 3.47-3.55, 2 Sc 3.49

# 6
KTeAs2: relaxed, PBE.

## Properties
Formation energy (no corrections), eV/atom: -0.0706
E, eV per atom: -3.46
V, Å³ per atom: 31.09

a b c (Å): 3.7966 3.7966 8.6280
angles (deg): 90.00 90.00 90.00
With the nearest neighbours (Å) after each atom.
Sites, in units of the cell vectors:
1 K 0.0000 0.0000 0.0000  1 As 3.31, 4 Te 3.43
2 Te 0.5000 0.5000 0.2471  1 As 2.64
3 As 0.0000 0.0000 0.6166  4 As 2.74
4 As 0.5000 0.5000 0.5529  1 Te 2.64, 4 As 2.74

# 7
Pr8Ga3CoCl4: relaxed, PBE.

## Properties
Formation energy (no corrections), eV/atom: -0.9513
E, eV per atom: -4.81
V, Å³ per atom: 27.57

a b c (Å): 8.4371 8.4371 8.6570
angles (deg): 119.17 119.17 60.00
With the nearest neighbours (Å) after each atom.
Sites, in units of the cell vectors:
1 Pr 0.2314 0.7646 0.7267  1 Co 2.79, 2 Ga 3.00, 2 Cl 3.06-3.07
2 Pr 0.2325 0.2325 0.7282  1 Co 2.81, 2 Ga 3.00, 2 Cl 3.06
3 Pr 0.2354 0.7686 0.2733  1 Co 2.79, 2 Ga 3.00, 2 Cl 3.06-3.07
4 Pr 0.2491 0.2491 0.2475  3 Cl 3.01, 3 Ga 3.03
5 Pr 0.7509 0.7509 0.7525  3 Cl 3.01, 3 Ga 3.03
6 Pr 0.7646 0.2314 0.7267  1 Co 2.79, 2 Ga 3.00, 2 Cl 3.06-3.07
7 Pr 0.7675 0.7675 0.2718  1 Co 2.81, 2 Ga 3.00, 2 Cl 3.06
8 Pr 0.7686 0.2354 0.2733  1 Co 2.79, 2 Ga 3.00, 2 Cl 3.06-3.07
9 Ga 0.0000 0.5000 0.5000  6 Pr 3.00-3.03
10 Ga 0.5000 0.0000 0.5000  6 Pr 3.00-3.03
11 Ga 0.5000 0.5000 0.5000  6 Pr 3.00-3.03
12 Co 0.0000 0.0000 0.5000  6 Pr 2.79-2.81
13 Cl 0.0000 0.0000 0.0000  6 Pr 3.01-3.07
14 Cl 0.0000 0.5000 0.0000  6 Pr 3.01-3.06
15 Cl 0.5000 0.0000 0.0000  6 Pr 3.01-3.06
16 Cl 0.5000 0.5000 0.0000  6 Pr 3.23-3.25

# 8
TlSbPb2: relaxed, PBE.

## Properties
Formation energy (no corrections), eV/atom: 0.0664
E, eV per atom: -3.41
Offset from the most stable computed form, meV/atom: 54
V, Å³ per atom: 30.42

a b c (Å): 11.4362 11.4362 11.4362
angles (deg): 17.78 17.78 17.78
With the nearest neighbours (Å) after each atom.
Sites, in units of the cell vectors:
1 Tl 0.0000 0.0000 0.0000  6 Tl 3.53, 6 Pb 3.57
2 Sb 0.5000 0.5000 0.5000  6 Pb 3.39, 6 Sb 3.53
3 Pb 0.2467 0.2467 0.2467  3 Sb 3.39, 6 Pb 3.53, 3 Tl 3.57
4 Pb 0.7533 0.7533 0.7533  3 Sb 3.39, 6 Pb 3.53, 3 Tl 3.57

# 9
AcLa4Al4: relaxed, PBE.

## Properties
E, eV per atom: -4.40
V, Å³ per atom: 30.03

a b c (Å): 9.3809 9.3809 6.1432
angles (deg): 90.00 90.00 90.00
With the nearest neighbours (Å) after each atom.
Sites, in units of the cell vectors:
1 Ac 0.2500 0.2500 0.2500  4 Al 3.30, 4 La 3.41
2 Ac 0.7500 0.7500 0.7500  4 Al 3.30, 4 La 3.41
3 La 0.0921 0.8311 0.6066  5 Al 3.23-3.39, 1 La 3.33, 1 Ac 3.41
4 La 0.1689 0.5921 0.1066  5 Al 3.23-3.39, 1 La 3.33, 1 Ac 3.41
5 La 0.3311 0.9079 0.1066  5 Al 3.23-3.39, 1 La 3.33, 1 Ac 3.41
6 La 0.4079 0.6689 0.6066  5 Al 3.23-3.39, 1 La 3.33, 1 Ac 3.41
7 La 0.5921 0.3311 0.3934  5 Al 3.23-3.39, 1 La 3.33, 1 Ac 3.41
8 La 0.6689 0.0921 0.8934  5 Al 3.23-3.39, 1 La 3.33, 1 Ac 3.41
9 La 0.8311 0.4079 0.8934  5 Al 3.23-3.39, 1 La 3.33, 1 Ac 3.41
10 La 0.9079 0.1689 0.3934  5 Al 3.23-3.39, 1 La 3.33, 1 Ac 3.41
11 Al 0.0284 0.1218 0.8812  1 Al 2.76
12 Al 0.1218 0.4716 0.6188  1 Al 2.76
13 Al 0.3782 0.0284 0.6188  1 Al 2.76
14 Al 0.4716 0.3782 0.8812  1 Al 2.76
15 Al 0.5284 0.6218 0.1188  1 Al 2.76
16 Al 0.6218 0.9716 0.3812  1 Al 2.76
17 Al 0.8782 0.5284 0.3812  1 Al 2.76
18 Al 0.9716 0.8782 0.1188  1 Al 2.76

# 10
Sc8ZnC4: relaxed, PBE.

## Properties
E, eV per atom: -7.24
V, Å³ per atom: 17.18

a b c (Å): 8.2611 8.2611 11.1268
angles (deg): 131.48 131.48 23.54
With the nearest neighbours (Å) after each atom.
Sites, in units of the cell vectors:
1 Sc 0.0431 0.0431 0.2301  3 C 2.27-2.29
2 Sc 0.3005 0.3005 0.4390  3 C 2.30-2.32
3 Sc 0.3410 0.3410 0.1623  3 C 2.28-2.30
4 Sc 0.3626 0.3626 0.9052  3 C 2.27-2.29
5 Sc 0.6374 0.6374 0.0948  3 C 2.27-2.29
6 Sc 0.6590 0.6590 0.8377  3 C 2.28-2.30
7 Sc 0.6995 0.6995 0.5610  3 C 2.30-2.32
8 Sc 0.9569 0.9569 0.7699  3 C 2.27-2.29
9 Zn 0.0000 0.0000 0.5000  10 Sc 3.24-3.51, 2 Zn 3.37
10 C 0.1494 0.1494 0.9684  6 Sc 2.28-2.30
11 C 0.3322 0.3322 0.6736  6 Sc 2.27-2.32
12 C 0.6678 0.6678 0.3264  6 Sc 2.27-2.32
13 C 0.8506 0.8506 0.0316  6 Sc 2.28-2.30

# 11
PmZrCuNi: relaxed, PBE.

## Properties
E, eV per atom: -5.91
V, Å³ per atom: 19.28

a b c (Å): 4.7776 4.7776 4.7776
angles (deg): 60.00 60.00 60.00
With the nearest neighbours (Å) after each atom.
Sites, in units of the cell vectors:
1 Pm 0.0000 0.0000 0.0000  4 Ni 2.93, 4 Cu 2.93
2 Zr 0.5000 0.5000 0.5000  4 Ni 2.93, 4 Cu 2.93
3 Cu 0.7500 0.7500 0.7500  4 Zr 2.93, 4 Pm 2.93
4 Ni 0.2500 0.2500 0.2500  4 Zr 2.93, 4 Pm 2.93

# 12
MnTc2Os: relaxed, PBE.

## Properties
E, eV per atom: -10.23
Offset from the most stable computed form, meV/atom: 0
V, Å³ per atom: 13.89

a b c (Å): 3.8066 3.8066 3.8338
angles (deg): 90.00 90.00 90.00
With the nearest neighbours (Å) after each atom.
Sites, in units of the cell vectors:
1 Mn 0.0000 0.0000 0.0000  4 Os 2.69, 8 Tc 2.70
2 Tc 0.0000 0.5000 0.5000  4 Tc 2.69, 4 Mn 2.70, 4 Os 2.70
3 Tc 0.5000 0.0000 0.5000  4 Tc 2.69, 4 Mn 2.70, 4 Os 2.70
4 Os 0.5000 0.5000 0.0000  4 Mn 2.69, 8 Tc 2.70

Q: V of number 8 (TlSbPb2)?
A: 30.42 Å³ per atom